No. 1
Li2CoP2O7: single point on PBEsol structure, SCAN.

Calculated values
Distance to the lowest polymorph of the same formula: 0.00 eV/f.u.
DFT total energy: -229.32 eV for the cell shown
Calculated volume: 270 Å³/cell
Crystal system: monoclinic
Energy relative to the elements, uncorrected: -2347 meV per atom

Structure (POSCAR):
```
Li2CoP2O7
1.0
4.932 0.000 0.000
0.000 8.202 0.000
-2.360 0.000 6.677
Li Co P O
4 2 4 14
Cartesian
-0.291 0.000 2.765 Li
-0.369 2.700 5.678 Li
2.941 6.801 0.999 Li
2.863 4.101 3.912 Li
-0.365 5.631 5.213 Co
2.937 1.530 1.464 Co
-1.791 8.190 6.557 P
0.452 3.186 2.764 P
2.120 7.287 3.913 P
4.363 4.089 0.120 P
-1.706 4.056 5.875 O
-0.042 4.236 1.639 O
-0.358 1.898 2.651 O
-1.004 6.891 6.650 O
1.443 1.221 0.096 O
0.119 3.902 4.076 O
0.613 7.082 4.078 O
1.959 2.981 2.600 O
2.453 8.003 2.601 O
1.129 5.322 6.581 O
3.576 2.790 0.027 O
2.930 5.999 4.026 O
2.614 0.135 5.038 O
4.278 8.157 0.802 O
```



No. 2
Li2CoP4O12: single point on PBEsol structure, SCAN.

Calculated values
Distance to the lowest polymorph of the same formula: 0.00 eV/f.u.
DFT total energy: -365.73 eV for the cell shown
Calculated volume: 477 Å³/cell
Crystal system: monoclinic
Energy relative to the elements, uncorrected: -2337 meV per atom

Structure (POSCAR):
```
Li2CoP4O12
1.0
4.591 -7.070 0.000
4.591 7.070 0.000
-1.769 0.000 7.349
Li Co P O
4 2 8 24
Cartesian
1.084 2.104 1.851 Li
0.199 -2.104 5.525 Li
7.213 2.104 1.824 Li
6.329 -2.104 5.499 Li
4.149 1.822 1.837 Co
3.264 -1.822 5.512 Co
3.023 4.605 2.784 P
5.274 4.605 0.890 P
1.876 1.009 6.081 P
2.761 -1.009 2.406 P
4.652 1.009 4.943 P
5.537 -1.009 1.268 P
2.139 -4.605 6.459 P
4.390 -4.605 4.565 P
2.656 3.225 2.294 O
4.149 5.230 1.837 O
0.967 1.429 4.830 O
3.379 4.800 4.219 O
3.150 4.800 6.805 O
1.505 1.800 7.295 O
2.718 0.497 2.448 O
1.852 -1.429 1.155 O
3.264 1.542 5.512 O
1.834 -0.497 6.122 O
5.641 3.225 1.381 O
2.389 -1.800 3.620 O
5.024 1.800 3.729 O
1.772 -3.225 5.969 O
5.579 0.497 1.227 O
4.149 -1.542 1.837 O
5.561 1.429 6.194 O
4.695 -0.497 4.902 O
5.908 -1.800 0.055 O
4.263 -4.800 0.544 O
4.034 -4.800 3.131 O
6.445 -1.429 2.520 O
3.264 -5.230 5.512 O
4.757 -3.225 5.055 O
```



No. 3
LiCo2P3O12: single point on PBEsol structure, SCAN.

Calculated values
DFT total energy: -355.83 eV for the cell shown
Calculated volume: 393 Å³/cell
Crystal system: trigonal
Energy relative to the elements, uncorrected: -1941 meV per atom

Structure (POSCAR):
```
LiCo2P3O12
1.0
4.121 2.380 6.685
-4.121 2.380 6.685
0.000 -4.759 6.685
Li Co P O
2 4 6 24
Cartesian
0.000 0.000 0.000 Li
0.000 0.000 10.027 Li
0.000 0.000 2.756 Co
0.000 0.000 7.271 Co
0.000 0.000 12.783 Co
0.000 0.000 17.299 Co
-2.947 -0.346 8.356 P
-1.174 -2.725 11.698 P
1.773 -2.380 8.356 P
-1.773 2.380 11.698 P
1.174 2.725 8.356 P
2.947 0.346 11.698 P
-3.280 -1.059 9.661 O
-3.575 1.071 8.245 O
-2.715 -2.561 11.810 O
-0.723 -1.389 6.318 O
-0.723 -3.370 10.394 O
-1.406 -0.181 8.467 O
0.860 -3.632 8.245 O
-0.842 1.321 6.318 O
-2.557 2.311 10.394 O
-0.546 -1.309 11.587 O
0.860 -1.127 8.467 O
-1.565 -0.069 13.736 O
1.565 0.069 6.318 O
-0.860 1.127 11.587 O
0.546 1.309 8.467 O
2.557 -2.311 9.661 O
0.842 -1.321 13.736 O
-0.860 3.632 11.810 O
1.406 0.181 11.587 O
0.723 3.370 9.661 O
0.723 1.389 13.736 O
2.715 2.561 8.245 O
3.575 -1.071 11.810 O
3.280 1.059 10.394 O
```



No. 4
Li2CoP2O7: single point on PBEsol structure, SCAN.

Calculated values
Distance to the lowest polymorph of the same formula: 0.52 eV/f.u.
DFT total energy: -228.27 eV for the cell shown
Calculated volume: 256 Å³/cell
Crystal system: triclinic
Energy relative to the elements, uncorrected: -2303 meV per atom

Structure (POSCAR):
```
Li2CoP2O7
1.0
4.954 0.000 0.000
-2.212 6.611 0.000
-2.358 -2.753 7.806
Li Co P O
4 2 4 14
Cartesian
-1.350 0.804 3.872 Li
0.979 0.120 1.999 Li
-0.595 3.739 5.807 Li
1.734 3.054 3.934 Li
-1.360 -1.204 6.547 Co
1.744 5.062 1.259 Co
-3.002 2.456 6.931 P
-0.823 3.690 2.771 P
1.207 0.168 5.035 P
3.386 1.402 0.876 P
-3.402 3.479 5.831 O
-1.325 2.856 1.470 O
-1.496 5.385 0.358 O
-1.738 4.908 2.793 O
-1.067 2.797 3.990 O
-0.281 -0.104 5.282 O
-1.507 2.511 7.248 O
1.891 1.348 0.558 O
0.666 3.963 2.524 O
1.451 1.061 3.816 O
2.122 -1.050 5.013 O
1.880 -1.526 7.448 O
1.709 1.003 6.336 O
3.787 0.380 1.975 O
```



No. 5
LiCo2P2O8: single point on PBEsol structure, SCAN.

Calculated values
Distance to the lowest polymorph of the same formula: 0.11 eV/f.u.
DFT total energy: -134.16 eV for the cell shown
Calculated volume: 168 Å³/cell
Crystal system: monoclinic
Energy relative to the elements, uncorrected: -2040 meV per atom

Structure (POSCAR):
```
LiCo2P2O8
1.0
3.339 -3.788 0.000
3.339 3.788 0.000
-0.051 0.000 6.652
Li Co P O
1 2 2 8
Cartesian
0.000 0.000 0.000 Li
3.339 0.007 0.000 Co
3.314 -3.756 3.326 Co
1.716 1.909 1.688 P
4.912 1.909 4.964 P
2.999 1.082 1.479 O
1.459 -1.066 3.667 O
1.706 -0.938 6.208 O
3.629 1.082 5.173 O
2.837 -2.790 4.918 O
4.922 -0.938 0.444 O
5.169 -1.066 2.985 O
3.791 -2.790 1.734 O
```



No. 6
LiCoP2O7: single point on PBEsol structure, SCAN.

Calculated values
Distance to the lowest polymorph of the same formula: 0.12 eV/f.u.
DFT total energy: -434.78 eV for the cell shown
Calculated volume: 466 Å³/cell
Crystal system: monoclinic
Energy relative to the elements, uncorrected: -2235 meV per atom

Structure (POSCAR):
```
LiCoP2O7
1.0
6.854 0.000 0.000
0.000 7.846 0.000
-3.376 0.000 8.670
Li Co P O
4 4 8 28
Cartesian
0.339 1.006 2.143 Li
-1.349 2.917 6.478 Li
4.827 4.929 2.192 Li
3.138 6.840 6.527 Li
-1.021 0.024 6.542 Co
0.667 3.899 2.207 Co
2.810 3.947 6.463 Co
4.499 7.822 2.128 Co
-1.896 5.400 8.254 P
-0.208 6.368 3.919 P
2.529 1.693 0.514 P
0.841 2.230 4.849 P
2.637 5.616 3.821 P
0.948 6.153 8.157 P
3.685 1.477 4.751 P
5.373 2.445 0.416 P
-2.370 4.272 7.331 O
-0.681 7.497 2.996 O
-0.445 4.968 3.337 O
-2.133 6.801 7.672 O
0.984 5.343 1.016 O
-0.704 6.426 5.351 O
-1.336 1.433 7.753 O
0.352 2.490 3.418 O
-0.276 1.440 5.515 O
1.412 2.482 1.180 O
-0.305 5.165 8.228 O
1.384 6.603 3.893 O
2.872 0.409 1.272 O
1.183 3.514 5.607 O
2.294 4.332 3.063 O
0.606 7.437 7.398 O
2.094 1.242 4.777 O
3.782 2.680 0.442 O
2.065 5.363 7.490 O
3.753 6.405 3.155 O
3.125 5.356 5.252 O
4.814 6.413 0.917 O
4.182 1.420 3.319 O
2.493 2.503 7.654 O
5.611 1.045 0.998 O
3.922 2.878 5.334 O
4.159 0.349 5.674 O
5.847 3.574 1.339 O
```



No. 7
Li2CoP2O7: single point on PBEsol structure, SCAN.

Calculated values
Distance to the lowest polymorph of the same formula: 0.82 eV/f.u.
DFT total energy: -227.68 eV for the cell shown
Calculated volume: 281 Å³/cell
Crystal system: tetragonal
Energy relative to the elements, uncorrected: -2278 meV per atom

Structure (POSCAR):
```
Li2CoP2O7
1.0
7.544 0.000 0.000
0.000 7.544 0.000
0.000 0.000 4.933
Li Co P O
4 2 4 14
Cartesian
1.599 2.173 0.202 Li
2.173 5.945 4.730 Li
5.371 1.599 4.730 Li
5.945 5.371 0.202 Li
0.000 0.000 2.466 Co
3.772 3.772 2.466 Co
1.089 4.861 1.964 P
2.683 1.089 2.968 P
4.861 6.455 2.968 P
6.455 2.683 1.964 P
0.000 3.772 1.479 O
0.617 6.146 1.247 O
1.171 4.943 3.457 O
1.398 0.617 3.686 O
2.374 4.389 1.247 O
2.601 1.171 1.476 O
3.155 2.374 3.686 O
3.772 0.000 3.454 O
4.389 5.170 3.686 O
4.943 6.373 1.476 O
5.170 3.155 1.247 O
6.146 6.927 3.686 O
6.373 2.601 3.457 O
6.927 1.398 1.247 O
```



No. 8
Li2CoP4O12: single point on PBEsol structure, SCAN.

Calculated values
Distance to the lowest polymorph of the same formula: 0.22 eV/f.u.
DFT total energy: -182.64 eV for the cell shown
Calculated volume: 228 Å³/cell
Crystal system: triclinic
Energy relative to the elements, uncorrected: -2326 meV per atom

Structure (POSCAR):
```
Li2CoP4O12
1.0
5.175 0.000 0.000
-2.104 6.648 0.000
-0.578 -2.448 6.623
Li Co P O
2 1 4 12
Cartesian
0.315 1.322 0.434 Li
2.177 2.878 6.189 Li
1.246 2.100 3.311 Co
-0.803 3.987 1.937 P
-0.482 4.334 4.833 P
2.974 -0.134 1.790 P
3.295 0.213 4.686 P
-0.723 0.072 5.589 O
-1.261 4.402 3.425 O
-1.472 4.065 5.903 O
-0.117 2.629 2.029 O
0.382 5.011 1.602 O
1.777 0.788 1.960 O
0.716 3.412 4.663 O
2.111 -0.811 5.020 O
2.609 1.570 4.594 O
3.964 0.135 0.719 O
3.754 -0.202 3.197 O
3.215 4.128 1.034 O
```



No. 9
LiCoP2O7: single point on PBEsol structure, SCAN.

Calculated values
Distance to the lowest polymorph of the same formula: 1.22 eV/f.u.
DFT total energy: -215.21 eV for the cell shown
Calculated volume: 284 Å³/cell
Crystal system: monoclinic
Energy relative to the elements, uncorrected: -2136 meV per atom

Structure (POSCAR):
```
LiCoP2O7
1.0
7.074 -2.437 0.000
7.074 2.437 0.000
-2.199 0.000 8.227
Li Co P O
2 2 4 14
Cartesian
5.975 1.598 4.113 Li
7.074 -1.598 0.000 Li
9.006 0.028 8.170 Co
10.105 -0.028 4.057 Co
1.114 0.710 5.853 P
3.823 0.667 6.420 P
2.214 -0.710 1.739 P
4.922 -0.667 2.307 P
3.467 1.807 7.432 O
1.116 0.182 1.327 O
4.153 1.356 5.053 O
0.016 -0.182 5.440 O
3.559 0.167 2.040 O
2.459 -0.167 6.153 O
5.976 0.258 2.767 O
9.002 1.006 3.090 O
4.876 -0.258 6.880 O
9.701 0.668 0.686 O
5.252 -1.356 0.940 O
4.567 -1.807 3.319 O
8.601 -0.668 4.799 O
7.902 -1.006 7.203 O
```



No. 10
LiCo2P2O8: single point on PBEsol structure, SCAN.

Calculated values
Distance to the lowest polymorph of the same formula: 0.01 eV/f.u.
DFT total energy: -268.52 eV for the cell shown
Calculated volume: 337 Å³/cell
Crystal system: monoclinic
Energy relative to the elements, uncorrected: -2047 meV per atom

Structure (POSCAR):
```
LiCo2P2O8
1.0
4.989 0.000 0.000
0.000 6.801 0.000
-0.346 0.000 9.919
Li Co P O
2 4 4 16
Cartesian
0.000 1.692 0.000 Li
-0.173 5.109 4.960 Li
-0.118 1.697 5.412 Co
0.055 5.104 0.453 Co
2.535 1.603 1.946 Co
2.362 5.197 6.905 Co
0.055 3.251 2.713 P
-0.118 3.550 7.673 P
2.365 0.129 4.564 P
2.192 6.671 9.524 P
1.575 3.071 2.539 O
1.402 3.730 7.499 O
1.708 1.362 5.208 O
1.881 5.438 0.249 O
1.924 1.190 0.166 O
1.751 5.611 5.125 O
2.186 0.140 3.037 O
2.013 6.660 7.997 O
3.883 0.123 4.940 O
3.710 6.678 9.900 O
4.353 2.135 1.868 O
4.180 4.666 6.828 O
4.468 2.140 7.191 O
4.641 4.660 2.231 O
4.627 3.175 4.208 O
4.454 3.626 9.168 O
```



No. 11
LiCoP2O7: single point on PBEsol structure, SCAN.

Calculated values
Distance to the lowest polymorph of the same formula: 0.00 eV/f.u.
DFT total energy: -435.28 eV for the cell shown
Calculated volume: 438 Å³/cell
Crystal system: monoclinic
Energy relative to the elements, uncorrected: -2246 meV per atom

Structure (POSCAR):
```
LiCoP2O7
1.0
4.632 -3.925 0.000
4.632 3.925 0.000
-4.415 0.000 12.042
Li Co P O
4 4 8 28
Cartesian
0.463 0.872 1.775 Li
-1.745 -0.872 7.796 Li
6.594 0.872 4.246 Li
4.386 -0.872 10.267 Li
1.714 1.830 4.322 Co
5.343 1.830 1.699 Co
-0.494 -1.830 10.343 Co
3.136 -1.830 7.720 Co
-2.256 0.659 10.391 P
-0.048 -0.659 4.370 P
0.985 0.352 6.910 P
3.192 -0.352 0.890 P
1.657 0.352 11.152 P
3.864 -0.352 5.131 P
4.897 0.659 7.672 P
7.105 -0.659 1.651 P
1.848 2.107 2.421 O
0.230 0.753 3.824 O
3.991 3.158 1.435 O
3.066 3.158 4.586 O
-0.333 0.611 7.652 O
-1.567 0.762 11.816 O
1.535 1.604 6.201 O
-1.978 -0.753 9.845 O
1.874 -0.611 1.631 O
1.107 1.604 11.861 O
0.640 -0.762 5.795 O
2.863 0.330 4.222 O
5.208 2.107 3.600 O
4.194 0.330 1.798 O
0.655 -0.330 10.243 O
-0.359 -2.107 8.441 O
1.986 -0.330 7.819 O
4.209 0.762 6.247 O
3.743 -1.604 0.180 O
2.975 0.611 10.410 O
6.827 0.753 2.197 O
3.314 -1.604 5.840 O
6.417 -0.762 0.226 O
5.183 -0.611 4.390 O
1.783 -3.158 7.455 O
0.858 -3.158 10.607 O
4.620 -0.753 8.218 O
3.001 -2.107 9.621 O
```



No. 12
Li3Co2P3O12: single point on PBEsol structure, SCAN.

Calculated values
Distance to the lowest polymorph of the same formula: 0.47 eV/f.u.
DFT total energy: -384.07 eV for the cell shown
Calculated volume: 426 Å³/cell
Crystal system: trigonal
Energy relative to the elements, uncorrected: -2214 meV per atom

Structure (POSCAR):
```
Li3Co2P3O12
1.0
4.102 2.368 7.315
-4.102 2.368 7.315
0.000 -4.736 7.315
Li Co P O
6 4 6 24
Cartesian
-2.401 0.208 9.928 Li
-1.381 -1.976 12.017 Li
1.021 -2.183 9.928 Li
-1.021 2.183 12.017 Li
1.381 1.976 9.928 Li
2.401 -0.208 12.017 Li
0.000 0.000 3.339 Co
0.000 0.000 7.801 Co
0.000 0.000 14.144 Co
0.000 0.000 18.605 Co
-1.747 -2.430 9.161 P
-2.978 0.298 12.784 P
-1.231 2.728 9.161 P
1.231 -2.728 12.784 P
2.978 -0.298 9.161 P
1.747 2.430 12.784 P
-1.328 -3.864 9.561 O
-4.011 -0.782 12.384 O
-2.628 -1.740 10.296 O
-1.616 0.116 6.789 O
-0.543 -1.473 9.128 O
-2.821 1.406 11.648 O
0.707 -1.457 6.789 O
-2.682 3.082 9.561 O
0.193 -3.146 11.648 O
-1.547 -0.266 12.817 O
-1.004 1.207 9.128 O
-0.909 -1.341 15.156 O
0.909 1.341 6.789 O
1.004 -1.207 12.817 O
1.547 0.266 9.128 O
-0.193 3.146 10.296 O
2.682 -3.082 12.384 O
-0.707 1.457 15.156 O
2.821 -1.406 10.296 O
0.543 1.473 12.817 O
1.616 -0.116 15.156 O
2.628 1.740 11.648 O
4.011 0.782 9.561 O
1.328 3.864 12.384 O
```